{
  "formula": "Ta2MoP",
  "functional": "PBE",
  "state": "optimized geometry",
  "cell": [[7.056, 0.000, 0.000], [0.000, 7.056, 0.000], [0.000, 0.000, 5.548]],
  "species": ["Ta", "Ta", "Ta", "Ta", "Ta", "Ta", "Ta", "Ta", "Mo", "Mo", "Mo", "Mo", "P", "P", "P", "P"],
  "fractional_positions": [[0.217, 0.750, 0.125], [0.250, 0.217, 0.875], [0.250, 0.283, 0.375], [0.283, 0.750, 0.625], [0.717, 0.250, 0.625], [0.750, 0.717, 0.375], [0.750, 0.783, 0.875], [0.783, 0.250, 0.125], [0.000, 0.000, 0.500], [0.000, 0.500, 0.750], [0.500, 0.000, 0.250], [0.500, 0.500, 0.000], [0.000, 0.000, 0.000], [0.000, 0.500, 0.250], [0.500, 0.000, 0.750], [0.500, 0.500, 0.500]],
  "sg": "I-42d, No. 122",
  "formation_energy_ev_per_atom": 0.288,
  "n_ef_per_ev_cell": 13.8,
  "total_energy_ry_per_atom": -0.71280
}

---

{
  "formula": "TaMo2P",
  "functional": "PBE",
  "state": "optimized geometry",
  "cell": [[3.024, 0.000, 0.000], [0.000, 4.094, 0.000], [0.000, 0.000, 5.069]],
  "species": ["Ta", "Mo", "Mo", "P"],
  "fractional_positions": [[0.000, 0.000, 0.000], [0.000, 0.000, 0.504], [0.500, 0.500, 0.263], [0.500, 0.500, 0.756]],
  "sg": "Pmm2, No. 25",
  "formation_energy_ev_per_atom": -0.042,
  "n_ef_per_ev_cell": 1.9,
  "total_energy_ry_per_atom": -0.71833
}

---

What did the second record say?
{
  "formula": "TaMo2P",
  "functional": "PBE",
  "state": "optimized geometry",
  "cell": [[3.024, 0.000, 0.000], [0.000, 4.094, 0.000], [0.000, 0.000, 5.069]],
  "species": ["Ta", "Mo", "Mo", "P"],
  "fractional_positions": [[0.000, 0.000, 0.000], [0.000, 0.000, 0.504], [0.500, 0.500, 0.263], [0.500, 0.500, 0.756]],
  "sg": "Pmm2, No. 25",
  "formation_energy_ev_per_atom": -0.042,
  "n_ef_per_ev_cell": 1.9,
  "total_energy_ry_per_atom": -0.71833
}

---

Repeat the second record exactly.
{
  "formula": "TaMo2P",
  "functional": "PBE",
  "state": "optimized geometry",
  "cell": [[3.024, 0.000, 0.000], [0.000, 4.094, 0.000], [0.000, 0.000, 5.069]],
  "species": ["Ta", "Mo", "Mo", "P"],
  "fractional_positions": [[0.000, 0.000, 0.000], [0.000, 0.000, 0.504], [0.500, 0.500, 0.263], [0.500, 0.500, 0.756]],
  "sg": "Pmm2, No. 25",
  "formation_energy_ev_per_atom": -0.042,
  "n_ef_per_ev_cell": 1.9,
  "total_energy_ry_per_atom": -0.71833
}